1) A plane-wave DFT calculation with PBE was carried out for K2BaCd2 after structural relaxation.

Cell and atoms, written as POSCAR:
```
K2BaCd2
1.0
10.024 0.000 0.000
0.000 10.024 0.000
0.000 0.000 4.098
K Ba Cd
4 2 4
Direct
0.121 0.379 0.000
0.379 0.879 0.000
0.621 0.121 0.000
0.879 0.621 0.000
0.000 0.000 0.000
0.500 0.500 0.000
0.182 0.682 0.500
0.318 0.182 0.500
0.682 0.818 0.500
0.818 0.318 0.500
```

Summary:
size of the total moment = 0.00 μB per formula unit
space-group type = P4/mbm
density = 3.6 g/cm3
Fermi-level density of states = 12.37 states/eV/cell


2) A plane-wave DFT calculation with PBE was carried out for K2BaCd2 after structural relaxation.

Cell and atoms, written as POSCAR:
```
K2BaCd2
1.0
-2.579 2.579 8.262
2.579 -2.579 8.262
2.579 2.579 -8.262
K Ba Cd
2 1 2
Direct
0.250 0.750 0.500
0.750 0.250 0.500
0.000 0.000 0.000
0.412 0.412 0.000
0.588 0.588 0.000
```

Summary:
size of the total moment = 0.00 μB per formula unit
space-group type = I4/mmm
density = 3.3 g/cm3
Fermi-level density of states = 4.62 states/eV/cell


3) A plane-wave DFT calculation with PBE was carried out for K2BaCd2 after structural relaxation.

Cell and atoms, written as POSCAR:
```
K2BaCd2
1.0
8.974 0.000 0.000
0.000 8.974 0.000
0.000 0.000 5.682
K Ba Cd
4 2 4
Direct
0.168 0.332 0.000
0.332 0.832 0.000
0.668 0.168 0.000
0.832 0.668 0.000
0.000 0.000 0.500
0.500 0.500 0.500
0.116 0.616 0.500
0.384 0.116 0.500
0.616 0.884 0.500
0.884 0.384 0.500
```

Summary:
size of the total moment = 0.00 μB per formula unit
space-group type = P4/mbm
density = 3.2 g/cm3
Fermi-level density of states = 6.92 states/eV/cell


Least stable = 1)


1) A plane-wave DFT calculation with PBE was carried out for KBaCd after structural relaxation.

Cell and atoms, written as POSCAR:
```
KBaCd
1.0
-2.154 2.154 7.837
2.154 -2.154 7.837
2.154 2.154 -7.837
K Ba Cd
1 1 1
Direct
0.000 0.000 0.000
0.267 0.267 0.000
0.647 0.647 0.000
```

Summary:
size of the total moment = 0.00 μB per formula unit
space-group type = I4mm
density = 3.3 g/cm3
Fermi-level density of states = 2.98 states/eV/cell


2) A plane-wave DFT calculation with PBE was carried out for KBaCd after structural relaxation.

Cell and atoms, written as POSCAR:
```
KBaCd
1.0
6.042 0.000 0.000
-3.021 5.232 0.000
0.000 0.000 4.378
K Ba Cd
1 1 1
Direct
0.000 0.000 0.000
0.667 0.333 0.438
0.333 0.667 0.828
```

Summary:
size of the total moment = 0.00 μB per formula unit
space-group type = P3m1
density = 3.5 g/cm3
Fermi-level density of states = 3.28 states/eV/cell


Least stable = 2)